1.
Pm4PbAu | GGA-PBE | relaxed

Geometry as extended XYZ:
```
6
Lattice="5.148 0.000 0.000 0.000 5.148 0.000 0.000 0.000 7.564" Properties=species:S:1:pos:R:3 pbc="T T T"
Pm 0.000 2.574 1.754
Pm 0.000 2.574 5.810
Pm 2.574 0.000 1.754
Pm 2.574 0.000 5.810
Pb 0.000 0.000 3.782
Au 2.574 2.574 0.000
```

Properties
DOS at the Fermi energy (states/eV per atom): 1.46
VASP energy (eV/atom): -4.6334
Space-group type: P4/mmm

=====

2.
Pm2PbAu6 | GGA-PBE | relaxed

Geometry as extended XYZ:
```
9
Lattice="6.643 0.000 0.000 -3.321 5.753 0.000 0.000 0.000 5.431" Properties=species:S:1:pos:R:3 pbc="T T T"
Pm 0.000 3.835 0.924
Pm 3.321 1.918 4.507
Pb 0.000 0.000 0.000
Au 0.000 2.200 3.631
Au -1.416 4.653 3.631
Au 1.905 1.100 1.800
Au 1.416 4.653 3.631
Au 4.737 1.100 1.800
Au 3.321 3.553 1.800
```

Properties
DOS at the Fermi energy (states/eV per atom): 0.18
VASP energy (eV/atom): -4.1741
Space-group type: P-3m1

=====

3.
Pm8PbAu2 | GGA-PBE | relaxed

Geometry as extended XYZ:
```
11
Lattice="8.837 -2.547 0.000 8.837 2.547 0.000 -3.527 0.000 7.384" Properties=species:S:1:pos:R:3 pbc="T T T"
Pm -0.067 0.000 1.877
Pm 0.453 0.000 5.726
Pm 3.753 0.000 3.921
Pm 7.052 0.000 0.266
Pm 7.095 0.000 7.118
Pm 10.394 0.000 3.463
Pm 13.694 0.000 1.658
Pm 14.214 0.000 5.506
Pb 7.074 0.000 3.692
Au 2.875 0.000 1.123
Au 11.272 0.000 6.260
```

Properties
DOS at the Fermi energy (states/eV per atom): 1.08
VASP energy (eV/atom): -4.7767
Space-group type: C2/m

=====

4.
Pm6PbAu5 | GGA-PBE | relaxed

Geometry as extended XYZ:
```
12
Lattice="5.241 0.000 0.000 0.000 7.519 0.000 -2.623 0.000 7.906" Properties=species:S:1:pos:R:3 pbc="T T T"
Pm 0.000 1.784 0.000
Pm 0.000 5.735 0.000
Pm 0.002 1.851 5.191
Pm 0.002 5.667 5.191
Pm 2.616 1.851 2.715
Pm 2.616 5.667 2.715
Pb 2.620 3.759 0.000
Au -0.010 3.759 2.531
Au -0.009 0.000 2.639
Au 2.620 0.000 0.000
Au 2.627 0.000 5.267
Au 2.628 3.759 5.375
```

Properties
DOS at the Fermi energy (states/eV per atom): 0.78
VASP energy (eV/atom): -4.7722
Space-group type: P2/m

=====

5.
Pm2PbAu | GGA-PBE | relaxed

Geometry as extended XYZ:
```
4
Lattice="3.619 0.000 0.000 0.000 3.619 0.000 0.000 0.000 8.399" Properties=species:S:1:pos:R:3 pbc="T T T"
Pm 0.000 0.000 1.884
Pm 0.000 0.000 6.514
Pb 1.810 1.810 4.199
Au 1.810 1.810 0.000
```

Properties
DOS at the Fermi energy (states/eV per atom): 0.88
VASP energy (eV/atom): -4.7579
Space-group type: P4/mmm

=====

6.
Pm4PbAu3 | GGA-PBE | relaxed

Geometry as extended XYZ:
```
8
Lattice="3.991 0.000 0.000 0.000 4.782 0.000 0.000 0.000 11.476" Properties=species:S:1:pos:R:3 pbc="T T T"
Pm 0.000 0.000 0.000
Pm 0.000 2.391 3.003
Pm 1.995 0.000 5.465
Pm 1.995 2.391 8.893
Pb 0.000 0.000 8.162
Au 0.000 2.391 6.074
Au 1.995 0.000 2.417
Au 1.995 2.391 0.500
```

Properties
DOS at the Fermi energy (states/eV per atom): 0.89
VASP energy (eV/atom): -4.7803
Space-group type: Pmm2

=====

Number 1: formation enthalpy at 0 K -302 meV/atom. Number 2: formation enthalpy at 0 K -521 meV/atom. Number 3: formation enthalpy at 0 K -389 meV/atom. Number 4: formation enthalpy at 0 K -722 meV/atom. Number 5: formation enthalpy at 0 K -636 meV/atom. Number 6: formation enthalpy at 0 K -712 meV/atom.